(1)
A geometry-optimized AlTcIr structure, computed with PBE.

Volume, Å³/cell: 43.5
ΔE to the lowest computed polymorph, kJ/mol of atoms: 13.5
E_form, eV/f.u.: -0.9
Crystal system: hexagonal

The structure in POSCAR format:
```
AlTcIr
1.0
-1.630 3.409 1.992
-1.827 -3.831 0.481
1.615 -0.498 2.172
Ir Tc Al
1 1 1
Cartesian
-1.493 -1.500 1.347
-0.619 0.664 2.937
0.269 -0.083 0.362
```

***

(2)
A geometry-optimized NaAlCd2Cu structure, computed with PBE.

Volume, Å³/cell: 128.3
E_form, eV/f.u.: 1.9
Crystal system: tetragonal

The structure in POSCAR format:
```
NaAlCd2Cu
1.0
-0.254 3.728 -3.329
-2.800 -2.867 -2.997
-4.238 1.752 2.285
Na Al Cu Cd
1 1 1 2
Cartesian
-2.119 0.876 1.142
-3.646 1.306 -2.021
0.000 0.000 0.000
-1.400 -1.433 -1.499
-0.127 1.864 -1.664
```

***

(3)
A geometry-optimized Sm4Tl2S structure, computed with PBE.

Volume, Å³/cell: 202.5
Crystal system: monoclinic
Raw total energy, eV/cell: -33.33

The structure in POSCAR format:
```
Sm4Tl2S
1.0
3.935 0.000 1.191
1.676 6.319 1.558
-0.300 0.188 8.085
Sm Tl S
4 2 1
Cartesian
0.447 1.234 5.618
4.864 5.273 5.217
1.741 1.649 1.343
3.570 4.858 9.491
2.245 3.881 6.773
3.066 2.626 4.062
0.000 0.000 0.000
```

***

(4)
A geometry-optimized Tl2HPd2 structure, computed with PBE.

Volume, Å³/cell: 182.5
ΔE to the lowest computed polymorph, kJ/mol of atoms: 1.6
Crystal system: monoclinic

The structure in POSCAR format:
```
Tl2HPd2
1.0
5.632 0.000 0.000
-2.816 5.133 -1.059
0.000 -3.692 7.073
Tl H Pd
4 2 4
Cartesian
2.816 -0.397 4.088
0.000 1.839 1.927
0.000 -2.107 5.895
2.816 3.549 0.120
0.000 0.532 5.285
2.816 0.910 0.730
0.000 -0.333 3.665
2.816 1.774 2.350
0.000 4.260 0.081
2.816 -2.818 5.934
```

***

Please write out number 4 again, unchanged.
A geometry-optimized Tl2HPd2 structure, computed with PBE.

Volume, Å³/cell: 182.5
ΔE to the lowest computed polymorph, kJ/mol of atoms: 1.6
Crystal system: monoclinic

The structure in POSCAR format:
```
Tl2HPd2
1.0
5.632 0.000 0.000
-2.816 5.133 -1.059
0.000 -3.692 7.073
Tl H Pd
4 2 4
Cartesian
2.816 -0.397 4.088
0.000 1.839 1.927
0.000 -2.107 5.895
2.816 3.549 0.120
0.000 0.532 5.285
2.816 0.910 0.730
0.000 -0.333 3.665
2.816 1.774 2.350
0.000 4.260 0.081
2.816 -2.818 5.934
```

***

The highest volume belongs to which entry?
Sm4Tl2S